i:
DFT (PBE) results for a geometry-optimized ScMn2C2 structure.

Cell lengths 3.469, 3.469, 5.133 Å; angles 109.75, 109.75, 90.00 degrees
Each line ends with the local moment (μB).
Positions (direct):
Mn: 0.250 0.750 0.500  0.42
C: 0.655 0.655 0.309  -0.03
Sc: 0.000 0.000 0.000  -0.03
C: 0.345 0.345 0.691  -0.03
Mn: 0.750 0.250 0.500  0.42

## Properties
SG   I4/mmm
Magnetic moment   0.76 μB per formula unit



ii:
DFT (PBE) results for a geometry-optimized ScMn2C2 structure.

Cell lengths 6.110, 6.110, 2.584 Å; angles 90.00, 90.00, 90.00 degrees
Each line ends with the local moment (μB).
Positions (direct):
C: 0.660 0.840 0.500  -0.06
C: 0.840 0.340 0.500  -0.06
Mn: 0.871 0.629 0.000  0.75
C: 0.340 0.160 0.500  -0.06
C: 0.160 0.660 0.500  -0.06
Mn: 0.371 0.871 0.000  0.77
Mn: 0.129 0.371 0.000  0.75
Mn: 0.629 0.129 0.000  0.77
Sc: 0.500 0.500 0.000  -0.06
Sc: 0.000 0.000 0.000  -0.06

## Properties
SG   P4/mbm
Magnetic moment   1.32 μB per formula unit



i is the most stable structure; the next one sits 839 meV per atom above it.



i:
DFT (PBE) results for a geometry-optimized Sc2MnSnC structure.

Cell lengths 4.602, 4.602, 3.835 Å; angles 90.00, 90.00, 90.00 degrees
Each line ends with the local moment (μB).
Positions (direct):
Sn: 0.500 0.500 0.500  0.00
Sc: 0.000 0.500 0.000  -0.09
Sc: 0.500 0.000 0.000  -0.09
Mn: 0.000 0.000 0.500  1.17
C: 0.000 0.000 0.000  -0.03

## Properties
SG   P4/mmm
Magnetic moment   0.91 μB per formula unit



ii:
DFT (PBE) results for a geometry-optimized Sc2MnSnC structure.

Cell lengths 4.448, 4.714, 4.448 Å; angles 90.00, 90.00, 90.00 degrees
Each line ends with the local moment (μB).
Positions (direct):
Sn: 0.000 0.500 0.000  -0.07
C: 0.000 0.000 0.000  0.03
Mn: 0.500 0.500 0.500  3.84
Sc: 0.500 0.000 0.000  -0.07
Sc: 0.000 0.000 0.500  -0.08

## Properties
SG   P4/mmm
Magnetic moment   3.93 μB per formula unit



i is the most stable structure; the next one sits 543 meV per atom above it.